[1]
Below is a geometry-optimized TmTe2PbAuS structure, with properties calculated at the PBE level.

Lattice parameters (Å, degrees): 7.697 7.697 10.266 90.00 90.00 147.77
Atoms (fractional coordinates):
Tm 0.000 0.000 0.000
Tm 0.000 0.000 0.500
Te 0.352 0.648 0.552
Te 0.352 0.648 0.948
Te 0.648 0.352 0.052
Te 0.648 0.352 0.448
Pb 0.260 0.740 0.250
Pb 0.740 0.260 0.750
Au 0.481 0.519 0.750
Au 0.519 0.481 0.250
S 0.075 0.925 0.750
S 0.925 0.075 0.250

## Properties
Total magnetic moment, μB per formula unit: 0.01

[2]
Below is a geometry-optimized Ac3Cu2Pd7 structure, with properties calculated at the PBE level.

Lattice parameters (Å, degrees): 9.402 9.402 9.402 34.60 34.60 34.60
Atoms (fractional coordinates):
Ac 0.000 0.000 0.000
Ac 0.138 0.138 0.138
Ac 0.862 0.862 0.862
Cu 0.333 0.333 0.333
Cu 0.667 0.667 0.667
Pd 0.077 0.580 0.580
Pd 0.420 0.420 0.923
Pd 0.420 0.923 0.420
Pd 0.500 0.500 0.500
Pd 0.580 0.077 0.580
Pd 0.580 0.580 0.077
Pd 0.923 0.420 0.420

## Properties
Total magnetic moment, μB per formula unit: 0.00

[3]
Below is a geometry-optimized Dy2ErGa3FeGe2 structure, with properties calculated at the PBE level.

Lattice parameters (Å, degrees): 4.135 6.942 6.942 119.88 90.00 90.00
Atoms (fractional coordinates):
Dy 0.000 0.200 0.800
Dy 0.000 0.800 0.200
Er 0.000 0.599 0.599
Ga 0.500 0.201 0.428
Ga 0.500 0.428 0.201
Ga 0.500 0.973 0.973
Fe 0.000 0.202 0.202
Ge 0.500 0.534 0.866
Ge 0.500 0.866 0.534

## Properties
Total magnetic moment, μB per formula unit: 0.00

Let's list calculated total energy in order: -4.40, -5.34, -5.13 eV per atom.